This record from the Alexandria database describes crystalline CaTa2CrMo at its relaxed geometry. The functional is PBE-GGA. Values from VASP.

Output
- calculated formation energy (meV/atom) = 1499
- volume (A^3/atom) = 25.501

Quantum ESPRESSO input file:
```
&SYSTEM
  ibrav = 0, nat = 5, ntyp = 4
/
ATOMIC_SPECIES
Cr 52.00 Cr.upf
Mo 95.94 Mo.upf
Ca 40.08 Ca.upf
Ta 180.95 Ta.upf
CELL_PARAMETERS angstrom
-3.752 -0.679 2.943
0.836 -5.430 -0.187
2.930 0.320 3.809
ATOMIC_POSITIONS angstrom
Cr 0.007 -2.895 3.282
Mo 0.000 0.000 0.000
Ca 0.418 -2.715 -0.094
Ta 1.465 0.160 1.905
Ta -1.876 -0.340 1.471
```